1.
Li3CuNi2, relaxed, DFT PBE; energy of formation = 0.169 eV per atom; total energy = -3.40 eV/atom; density of states at the Fermi level = 0.56 states/eV/atom; symmetry = P6/mmm (191)
1.0
4.4787 0.0000 0.0000
-2.2394 3.8788 0.0000
0.0000 0.0000 4.2140
Li Cu Ni
3 1 2
Cartesian
1.1197 1.9394 2.1070 Li
-1.1197 1.9394 2.1070 Li
2.2394 0.0000 2.1070 Li
0.0000 0.0000 0.0000 Cu
2.2394 1.2929 0.0000 Ni
0.0000 2.5859 0.0000 Ni

2.
SrPtAu3, relaxed, DFT PBE; energy of formation = -0.493 eV per atom; total energy = -4.00 eV/atom; density of states at the Fermi level = 0.33 states/eV/atom; symmetry = Cmcm (63); polymorph energy (0 for the lowest one) = 0.00 eV/f.u.
1.0
-1.2636 5.1289 -2.0574
-5.4922 -0.7134 1.5947
4.1182 3.0789 5.1460
Sr Pt Au
2 2 6
Cartesian
0.7855 3.4673 4.2564 Sr
-3.4231 4.0271 0.4269 Sr
0.0000 0.0000 0.0000 Pt
-0.6318 2.5645 -1.0287 Pt
-2.1901 2.6553 4.0596 Au
-0.4475 4.8392 0.6237 Au
-1.3153 1.8750 1.5770 Au
-1.3223 5.6195 3.1063 Au
-4.0293 1.5224 2.3650 Au
1.3917 5.9720 2.3183 Au

3.
Ac6PrTl5, relaxed, DFT PBE; energy of formation = -0.259 eV per atom; total energy = -3.70 eV/atom; density of states at the Fermi level = 1.35 states/eV/atom; symmetry = Cmmm (65); polymorph energy (0 for the lowest one) = 0.00 eV/f.u.
1.0
-1.1017 -0.7030 5.3840
8.8561 0.2439 1.8441
-1.0014 8.2316 3.7205
Pr Ac Tl
1 6 5
Cartesian
0.0000 0.0000 0.0000 Pr
5.4167 2.4682 7.1320 Ac
0.9223 2.3444 6.1961 Ac
1.9014 -0.2840 3.2026 Ac
5.8529 -0.1751 4.0254 Ac
5.8306 5.4281 4.7525 Ac
1.3362 5.3043 3.8167 Ac
3.0315 5.0348 6.9790 Tl
-0.6789 2.0875 2.9843 Tl
4.4280 0.1220 0.9220 Tl
-1.4243 5.4411 6.1203 Tl
3.7214 2.7377 3.9696 Tl

4.
Pm2AsH2, relaxed, DFT PBE; total energy = -5.01 eV/atom; density of states at the Fermi level = 0.54 states/eV/atom; symmetry = Fddd (70)
1.0
6.2573 0.2189 -0.0062
-1.9168 5.9605 -0.0062
-2.1657 -3.0832 4.8807
Pm As H
4 2 4
Cartesian
-1.2588 -0.2620 3.6574 Pm
1.8676 -0.1558 1.2170 Pm
0.3073 3.2521 3.6511 Pm
3.4336 3.3583 1.2108 Pm
2.6529 1.6045 3.6511 As
-0.4780 1.4917 1.2170 As
0.4815 -1.4868 2.4840 H
1.6911 4.5799 0.0375 H
1.6933 4.5830 2.3842 H
0.4837 -1.4836 4.8307 H

5.
Cu2NiAg, relaxed, DFT PBE; energy of formation = 0.143 eV per atom; total energy = -4.06 eV/atom; density of states at the Fermi level = 0.64 states/eV/atom; symmetry = P4/mmm (123)
1.0
3.6669 0.0000 0.0000
0.0000 3.7825 0.0000
0.0000 0.0000 3.7825
Ag Cu Ni
1 2 1
Cartesian
1.8334 0.0000 1.8913 Ag
0.0000 0.0000 0.0000 Cu
0.0000 1.8913 1.8913 Cu
1.8334 1.8913 0.0000 Ni

6.
KHgCl, relaxed, DFT PBE; total energy = -2.21 eV/atom; density of states at the Fermi level = 0.00 states/eV/atom; symmetry = P3m1 (156); formation energy (no corrections) = -1131 meV per atom; polymorph energy (0 for the lowest one) = 0.32 eV/f.u.
1.0
4.9440 0.0000 0.0000
-2.4720 4.2816 0.0000
0.0000 0.0000 5.8475
K Hg Cl
1 1 1
Cartesian
0.0000 2.8544 4.4441 K
2.4720 1.4272 1.8547 Hg
0.0000 0.0000 5.3962 Cl

7.
SrZnHg2Rh, relaxed, DFT PBE; energy of formation = -0.229 eV per atom; total energy = -2.41 eV/atom; density of states at the Fermi level = 0.51 states/eV/atom; symmetry = P4/mmm (123)
1.0
5.2600 0.0000 0.0000
0.0000 5.2600 0.0000
0.0000 0.0000 4.8215
Sr Zn Rh Hg
1 1 1 2
Cartesian
2.6300 2.6300 2.4108 Sr
0.0000 0.0000 2.4108 Zn
0.0000 0.0000 0.0000 Rh
0.0000 2.6300 0.0000 Hg
2.6300 0.0000 0.0000 Hg

8.
CrTeP2, relaxed, DFT PBE; total energy = -5.92 eV/atom; density of states at the Fermi level = 0.37 states/eV/atom; symmetry = Cm (8); formation energy (no corrections) = -28 meV per atom
1.0
-1.3778 0.2633 3.8175
0.0010 -2.4942 3.2125
5.9274 2.3185 2.9421
Cr P Te
1 2 1
Cartesian
3.9753 0.2812 7.7784 Cr
5.5396 2.1125 2.9972 P
0.3939 -0.2400 1.9916 P
2.8445 0.2961 5.1331 Te